DFT (PBE) results for a relaxed Ba2Ga2Ag crystal.

Results
Excess energy over the best structure of this formula in the dataset in meV per atom: 0.0
Formation enthalpy at 0 K in eV/atom: -0.3374
Space-group type: C2/m (12)
Calculated volume in A^3/atom: 32.30

abc: 4.971 6.507 11.109
angles: 81.55 77.07 67.54
Sites, in units of the cell vectors:
Ag (0.576, 0.175, 0.672)
Ag (0.424, 0.825, 0.328)
Ga (0.953, 0.669, 0.426)
Ga (0.403, 0.091, 0.103)
Ga (0.047, 0.331, 0.574)
Ga (0.597, 0.909, 0.897)
Ba (0.100, 0.687, 0.113)
Ba (0.900, 0.313, 0.887)
Ba (0.709, 0.236, 0.346)
Ba (0.291, 0.764, 0.654)